Below is an optimized crystal structure of In3Hg2I8, with properties calculated at the PBE level.

Cell: 9.738 10.403 13.126 Å, 90.00 90.00 117.91°
Fractional coordinates of all 26 atoms:
Hg (0.126, 0.251, 0.393)
Hg (0.626, 0.251, 0.107)
Hg (0.874, 0.749, 0.607)
Hg (0.374, 0.749, 0.893)
In (0.500, 0.000, 0.500)
In (0.116, 0.732, 0.250)
In (0.616, 0.732, 0.250)
In (0.384, 0.268, 0.750)
In (0.884, 0.268, 0.750)
In (0.000, 0.000, 0.000)
I (0.618, 0.735, 0.000)
I (0.883, 0.265, 0.000)
I (0.383, 0.265, 0.500)
I (0.382, 0.265, 0.000)
I (0.994, 0.988, 0.266)
I (0.247, 0.493, 0.248)
I (0.617, 0.735, 0.500)
I (0.117, 0.735, 0.000)
I (0.747, 0.493, 0.252)
I (0.118, 0.735, 0.500)
I (0.753, 0.507, 0.752)
I (0.506, 0.012, 0.766)
I (0.253, 0.507, 0.748)
I (0.882, 0.265, 0.500)
I (0.006, 0.012, 0.734)
I (0.494, 0.988, 0.234)

formation energy (no corrections)	-328	meV per atom